Record 1
Material: BaTaMnC2
Method: DFT, GGA-PBE
State: relaxed

Structure (CIF):
```
data_BaTaMnC2
_symmetry_space_group_name_H-M 'P 4/m m m'
_symmetry_Int_Tables_number 123
_symmetry_space_group_name_Hall '-P 4 2'
_cell_length_a 4.382
_cell_length_b 4.382
_cell_length_c 5.621
_cell_angle_alpha 90.00
_cell_angle_beta 90.00
_cell_angle_gamma 90.00
loop_
_atom_site_label
_atom_site_type_symbol
_atom_site_fract_x
_atom_site_fract_y
_atom_site_fract_z
_atom_site_occupancy
Ba1 Ba 0.000 0.000 0.000 1
Ta1 Ta 0.000 0.000 0.500 1
Mn1 Mn 0.500 0.500 0.500 1
C1 C 0.000 0.500 0.000 1
```

Properties
magnetization = 0.00 μB/atom
DFT total energy = -4.24 eV per atom

Record 2
Material: Ba2MnTcC
Method: DFT, GGA-PBE
State: relaxed

Structure (CIF):
```
data_Ba2MnTcC
_symmetry_space_group_name_H-M 'P 4/m m m'
_symmetry_Int_Tables_number 123
_symmetry_space_group_name_Hall '-P 4 2'
_cell_length_a 5.911
_cell_length_b 5.911
_cell_length_c 3.955
_cell_angle_alpha 90.00
_cell_angle_beta 90.00
_cell_angle_gamma 90.00
loop_
_atom_site_label
_atom_site_type_symbol
_atom_site_fract_x
_atom_site_fract_y
_atom_site_fract_z
_atom_site_occupancy
Ba1 Ba 0.000 0.500 0.000 1
Mn1 Mn 0.000 0.000 0.500 1
Tc1 Tc 0.500 0.500 0.500 1
C1 C 0.500 0.500 0.000 1
```

Properties
magnetization = 0.93 μB/atom
DFT total energy = -5.82 eV per atom

Record 3
Material: BaMnTlC2
Method: DFT, GGA-PBE
State: relaxed

Structure (CIF):
```
data_BaMnTlC2
_symmetry_space_group_name_H-M 'P 4/m m m'
_symmetry_Int_Tables_number 123
_symmetry_space_group_name_Hall '-P 4 2'
_cell_length_a 4.192
_cell_length_b 4.192
_cell_length_c 5.045
_cell_angle_alpha 90.00
_cell_angle_beta 90.00
_cell_angle_gamma 90.00
loop_
_atom_site_label
_atom_site_type_symbol
_atom_site_fract_x
_atom_site_fract_y
_atom_site_fract_z
_atom_site_occupancy
Ba1 Ba 0.000 0.000 0.000 1
Mn1 Mn 0.500 0.500 0.500 1
Tl1 Tl 0.500 0.500 0.000 1
C1 C 0.000 0.500 0.500 1
```

Properties
magnetization = 0.00 μB/atom
DFT total energy = -5.09 eV per atom

Record 4
Material: BaMoC3
Method: DFT, GGA-PBE
State: relaxed

Structure (CIF):
```
data_BaMoC3
_symmetry_space_group_name_H-M 'P m -3 m'
_symmetry_Int_Tables_number 221
_symmetry_space_group_name_Hall '-P 4 2 3'
_cell_length_a 4.240
_cell_length_b 4.240
_cell_length_c 4.240
_cell_angle_alpha 90.00
_cell_angle_beta 90.00
_cell_angle_gamma 90.00
loop_
_atom_site_label
_atom_site_type_symbol
_atom_site_fract_x
_atom_site_fract_y
_atom_site_fract_z
_atom_site_occupancy
Ba1 Ba 0.000 0.000 0.000 1
Mo1 Mo 0.500 0.500 0.500 1
C1 C 0.000 0.500 0.500 1
```

Properties
magnetization = 0.16 μB/atom
distance to the lowest polymorph of the same formula = 0 meV per atom
DFT total energy = -7.02 eV per atom

Record 5
Material: Ba2Mo4C
Method: DFT, GGA-PBE
State: relaxed

Structure (CIF):
```
data_Ba2Mo4C
_symmetry_space_group_name_H-M 'I 4/m m m'
_symmetry_Int_Tables_number 139
_symmetry_space_group_name_Hall '-I 4 2'
_cell_length_a 4.212
_cell_length_b 4.212
_cell_length_c 19.726
_cell_angle_alpha 90.00
_cell_angle_beta 90.00
_cell_angle_gamma 90.00
loop_
_atom_site_label
_atom_site_type_symbol
_atom_site_fract_x
_atom_site_fract_y
_atom_site_fract_z
_atom_site_occupancy
Ba1 Ba 0.000 0.000 0.167 1
Mo1 Mo 0.000 0.000 0.401 1
Mo2 Mo 0.000 0.500 0.000 1
C1 C 0.000 0.000 0.500 1
```

Properties
magnetization = 0.00 μB/atom
DFT total energy = -7.27 eV per atom

Record 6
Material: Ba3MoC
Method: DFT, GGA-PBE
State: relaxed

Structure (CIF):
```
data_Ba3MoC
_symmetry_space_group_name_H-M 'P m -3 m'
_symmetry_Int_Tables_number 221
_symmetry_space_group_name_Hall '-P 4 2 3'
_cell_length_a 5.756
_cell_length_b 5.756
_cell_length_c 5.756
_cell_angle_alpha 90.00
_cell_angle_beta 90.00
_cell_angle_gamma 90.00
loop_
_atom_site_label
_atom_site_type_symbol
_atom_site_fract_x
_atom_site_fract_y
_atom_site_fract_z
_atom_site_occupancy
Ba1 Ba 0.000 0.000 0.500 1
Mo1 Mo 0.500 0.500 0.500 1
C1 C 0.000 0.000 0.000 1
```

Properties
magnetization = 1.14 μB/atom
distance to the lowest polymorph of the same formula = 0 meV per atom
DFT total energy = -4.01 eV per atom

Record 7
Material: BaMoC3
Method: DFT, GGA-PBE
State: relaxed

Structure (CIF):
```
data_BaMoC3
_symmetry_space_group_name_H-M 'P m -3 m'
_symmetry_Int_Tables_number 221
_symmetry_space_group_name_Hall '-P 4 2 3'
_cell_length_a 4.433
_cell_length_b 4.433
_cell_length_c 4.433
_cell_angle_alpha 90.00
_cell_angle_beta 90.00
_cell_angle_gamma 90.00
loop_
_atom_site_label
_atom_site_type_symbol
_atom_site_fract_x
_atom_site_fract_y
_atom_site_fract_z
_atom_site_occupancy
Ba1 Ba 0.000 0.000 0.000 1
Mo1 Mo 0.500 0.500 0.500 1
C1 C 0.000 0.000 0.500 1
```

Properties
magnetization = 0.00 μB/atom
distance to the lowest polymorph of the same formula = 3003 meV per atom
DFT total energy = -4.02 eV per atom

Record 8
Material: BaMoC2
Method: DFT, GGA-PBE
State: relaxed

Structure (CIF):
```
data_BaMoC2
_symmetry_space_group_name_H-M 'F m -3 m'
_symmetry_Int_Tables_number 225
_symmetry_space_group_name_Hall '-F 4 2 3'
_cell_length_a 6.217
_cell_length_b 6.217
_cell_length_c 6.217
_cell_angle_alpha 90.00
_cell_angle_beta 90.00
_cell_angle_gamma 90.00
loop_
_atom_site_label
_atom_site_type_symbol
_atom_site_fract_x
_atom_site_fract_y
_atom_site_fract_z
_atom_site_occupancy
Ba1 Ba 0.000 0.000 0.000 1
Mo1 Mo 0.000 0.000 0.500 1
C1 C 0.250 0.250 0.250 1
```

Properties
magnetization = 0.00 μB/atom
distance to the lowest polymorph of the same formula = 1870 meV per atom
DFT total energy = -5.63 eV per atom